ZrTe2Rh: relaxed, PBE.

Unit cell a=3.602 b=4.785 c=4.785 alpha=90.00 beta=90.00 gamma=90.00
Positions (direct):
Rh 0.500 0.000 0.500
Te 0.000 0.000 0.000
Te 0.000 0.500 0.500
Zr 0.500 0.500 0.000

Its size of the total moment is 0.000 μB/cell. The volume is 20.62 A^3/atom. The uncorrected formation energy comes out at -0.43 eV/atom. As for the offset from the most stable computed form: 288 meV per atom. For the total energy, the calculation gives -5.980 eV per atom.